A relaxed structure of CrCuSi2F, computed with GGA+U.

Lattice parameters (Å, degrees): 4.4579 4.0468 4.4579 90.00 90.00 90.00
Last column: magnetic moment on the atom in μB.
Fractional coordinates of all 5 atoms:
Cr: 0.0000 0.5000 0.0000  4.00
Si: 0.0000 0.0000 0.5000  -0.07
Si: 0.5000 0.0000 0.0000  -0.05
Cu: 0.5000 0.5000 0.5000  0.01
F: 0.0000 0.0000 0.0000  0.00

Results
As for the space group: P4/mmm. For the total energy, the calculation gives -22.576 eV/f.u.